[1]
## Na2La3NdSe6 (PBE-GGA)

Data for Na2La3NdSe6 after structural relaxation.

## Properties
Energy relative to the elements, uncorrected (kJ/mol of atoms): -173.6

Geometry as CIF:
```
data_Na2La3NdSe6
_symmetry_space_group_name_H-M 'P 1'
_symmetry_Int_Tables_number 1
_symmetry_space_group_name_Hall 'P 1'
_cell_length_a 7.463
_cell_length_b 7.463
_cell_length_c 7.381
_cell_angle_alpha 99.69
_cell_angle_beta 99.69
_cell_angle_gamma 119.95
loop_
_atom_site_label
_atom_site_fract_x
_atom_site_fract_y
_atom_site_fract_z
Na1 0.166 0.834 0.000
Na2 0.834 0.166 0.000
La1 0.000 0.000 0.500
La2 0.331 0.669 0.500
La3 0.669 0.331 0.500
Nd1 0.500 0.500 0.000
Se1 0.087 0.418 0.754
Se2 0.254 0.254 0.251
Se3 0.418 0.087 0.754
Se4 0.582 0.913 0.246
Se5 0.746 0.746 0.749
Se6 0.913 0.582 0.246
```

[2]
## NaLa2NdSe4 (PBE-GGA)

Data for NaLa2NdSe4 after structural relaxation.

## Properties
Energy relative to the elements, uncorrected (kJ/mol of atoms): -177.1

Geometry as CIF:
```
data_NaLa2NdSe4
_symmetry_space_group_name_H-M 'P 1'
_symmetry_Int_Tables_number 1
_symmetry_space_group_name_Hall 'P 1'
_cell_length_a 7.354
_cell_length_b 4.285
_cell_length_c 7.478
_cell_angle_alpha 90.00
_cell_angle_beta 109.49
_cell_angle_gamma 90.00
loop_
_atom_site_label
_atom_site_fract_x
_atom_site_fract_y
_atom_site_fract_z
Na1 0.000 0.000 0.000
La1 0.500 0.000 0.500
La2 0.500 0.500 0.000
Nd1 0.000 0.500 0.500
Se1 0.244 0.000 0.750
Se2 0.247 0.500 0.250
Se3 0.753 0.500 0.750
Se4 0.756 0.000 0.250
```

[3]
## Na4La3NdSe8 (PBE-GGA)

Data for Na4La3NdSe8 after structural relaxation.

## Properties
Energy relative to the elements, uncorrected (kJ/mol of atoms): -167.7

Geometry as CIF:
```
data_Na4La3NdSe8
_symmetry_space_group_name_H-M 'P 1'
_symmetry_Int_Tables_number 1
_symmetry_space_group_name_Hall 'P 1'
_cell_length_a 8.599
_cell_length_b 8.599
_cell_length_c 8.599
_cell_angle_alpha 60.93
_cell_angle_beta 60.93
_cell_angle_gamma 60.93
loop_
_atom_site_label
_atom_site_fract_x
_atom_site_fract_y
_atom_site_fract_z
Na1 0.000 0.000 0.000
Na2 0.000 0.500 0.500
Na3 0.500 0.000 0.500
Na4 0.500 0.500 0.000
La1 0.000 0.000 0.500
La2 0.000 0.500 0.000
La3 0.500 0.000 0.000
Nd1 0.500 0.500 0.500
Se1 0.246 0.246 0.246
Se2 0.249 0.744 0.744
Se3 0.256 0.256 0.751
Se4 0.256 0.751 0.256
Se5 0.744 0.249 0.744
Se6 0.744 0.744 0.249
Se7 0.751 0.256 0.256
Se8 0.754 0.754 0.754
```

[4]
## Na2LaNdSe4 (PBE-GGA)

Data for Na2LaNdSe4 after structural relaxation.

## Properties
Energy relative to the elements, uncorrected (kJ/mol of atoms): -165.9

Geometry as CIF:
```
data_Na2LaNdSe4
_symmetry_space_group_name_H-M 'P 1'
_symmetry_Int_Tables_number 1
_symmetry_space_group_name_Hall 'P 1'
_cell_length_a 7.419
_cell_length_b 4.335
_cell_length_c 7.510
_cell_angle_alpha 90.00
_cell_angle_beta 109.70
_cell_angle_gamma 90.00
loop_
_atom_site_label
_atom_site_fract_x
_atom_site_fract_y
_atom_site_fract_z
Na1 0.000 0.000 0.000
Na2 0.000 0.500 0.500
La1 0.500 0.000 0.500
Nd1 0.500 0.500 0.000
Se1 0.263 0.500 0.251
Se2 0.264 0.000 0.758
Se3 0.736 0.000 0.242
Se4 0.737 0.500 0.749
```

[5]
## NaLaNdSn (PBE-GGA)

Data for NaLaNdSn after structural relaxation.

## Properties
Formation enthalpy at 0 K (eV per atom): -0.354

Geometry as CIF:
```
data_NaLaNdSn
_symmetry_space_group_name_H-M 'P 1'
_symmetry_Int_Tables_number 1
_symmetry_space_group_name_Hall 'P 1'
_cell_length_a 7.840
_cell_length_b 7.840
_cell_length_c 7.840
_cell_angle_alpha 90.00
_cell_angle_beta 90.00
_cell_angle_gamma 90.00
loop_
_atom_site_label
_atom_site_fract_x
_atom_site_fract_y
_atom_site_fract_z
Na1 0.000 0.000 0.000
Na2 0.000 0.500 0.500
Na3 0.500 0.000 0.500
Na4 0.500 0.500 0.000
La1 0.250 0.250 0.250
La2 0.250 0.750 0.750
La3 0.750 0.250 0.750
La4 0.750 0.750 0.250
Nd1 0.250 0.250 0.750
Nd2 0.250 0.750 0.250
Nd3 0.750 0.250 0.250
Nd4 0.750 0.750 0.750
Sn1 0.000 0.000 0.500
Sn2 0.000 0.500 0.000
Sn3 0.500 0.000 0.000
Sn4 0.500 0.500 0.500
```

[6]
## NaLa2Nd3Te6 (PBE-GGA)

Data for NaLa2Nd3Te6 after structural relaxation.

## Properties
Energy relative to the elements, uncorrected (kJ/mol of atoms): -141.0

Geometry as CIF:
```
data_NaLa2Nd3Te6
_symmetry_space_group_name_H-M 'P 1'
_symmetry_Int_Tables_number 1
_symmetry_space_group_name_Hall 'P 1'
_cell_length_a 10.168
_cell_length_b 10.168
_cell_length_c 9.120
_cell_angle_alpha 103.41
_cell_angle_beta 103.41
_cell_angle_gamma 25.67
loop_
_atom_site_label
_atom_site_fract_x
_atom_site_fract_y
_atom_site_fract_z
Na1 0.000 0.000 0.000
La1 0.333 0.333 0.665
La2 0.667 0.667 0.335
Nd1 0.000 0.000 0.500
Nd2 0.334 0.334 0.174
Nd3 0.666 0.666 0.826
Te1 0.165 0.165 0.584
Te2 0.166 0.166 0.077
Te3 0.499 0.499 0.249
Te4 0.501 0.501 0.751
Te5 0.834 0.834 0.923
Te6 0.835 0.835 0.416
```